Record 1
Here is a PBEsol-optimized structure of MgHg2 from Alexandria. Energies are from SCAN.

```
MgHg2
1.0
4.925 0.000 0.000
-2.462 4.265 0.000
0.000 0.000 6.130
Mg Hg
2 4
Cartesian
0.000 2.843 1.533
2.462 1.422 4.598
0.000 0.000 0.000
0.000 0.000 3.065
0.000 2.843 4.598
2.462 1.422 1.533
```

Output
space-group type: P6_3/mmc, No. 194
density of states at the Fermi level: 0.3384 states/eV per atom
V: 21.5 Å³/atom
formation energy: -163 meV per atom
size of the total moment: 0.000 μB/cell

=====

Record 2
Here is a PBEsol-optimized structure of MgHg from Alexandria. Energies are from SCAN.

```
MgHg
1.0
3.375 0.000 0.000
-1.687 2.922 0.000
0.000 0.000 8.729
Mg Hg
2 2
Cartesian
0.000 1.948 2.182
1.687 0.974 6.547
0.000 0.000 0.000
0.000 0.000 4.365
```

Output
space-group type: P6_3/mmc, No. 194
density of states at the Fermi level: 0.3300 states/eV per atom
V: 21.5 Å³/atom
formation energy: -278 meV per atom
size of the total moment: 0.000 μB/cell

=====

Record 3
Here is a PBEsol-optimized structure of MgHg from Alexandria. Energies are from SCAN.

```
MgHg
1.0
1.664 0.961 4.476
-1.664 0.961 4.476
0.000 -1.921 4.476
Mg Hg
1 1
Cartesian
0.000 0.000 0.000
0.000 0.000 6.714
```

Output
space-group type: R-3m, No. 166
density of states at the Fermi level: 0.3916 states/eV per atom
V: 21.5 Å³/atom
formation energy: -276 meV per atom
size of the total moment: 0.000 μB/cell

=====

Record 4
Here is a PBEsol-optimized structure of Mg2Hg from Alexandria. Energies are from SCAN.

```
Mg2Hg
1.0
5.536 -1.599 0.000
5.536 1.599 0.000
-2.394 0.000 7.121
Mg Hg
4 2
Cartesian
1.488 0.000 0.222
0.362 0.000 4.405
8.317 0.000 2.716
7.191 0.000 6.899
3.375 0.000 5.092
5.304 0.000 2.029
```

Output
space-group type: C2/m, No. 12
density of states at the Fermi level: 0.3362 states/eV per atom
V: 21.0 Å³/atom
formation energy: -262 meV per atom
size of the total moment: 0.000 μB/cell

=====

Record 5
Here is a PBEsol-optimized structure of Mg5Hg4 from Alexandria. Energies are from SCAN.

```
Mg5Hg4
1.0
-4.545 4.545 2.249
4.545 -4.545 2.249
4.545 4.545 -2.249
Mg Hg
5 4
Cartesian
0.000 0.000 0.000
2.990 2.990 0.000
1.555 -1.555 2.249
-1.555 1.555 2.249
1.555 1.555 2.249
2.903 0.000 0.000
6.186 0.000 0.000
0.000 2.903 0.000
0.000 6.186 0.000
```

Output
space-group type: I4/mmm, No. 139
density of states at the Fermi level: 0.2944 states/eV per atom
V: 20.6 Å³/atom
energy above the lowest structure with this stoichiometry: 0.837 eV per formula unit
formation energy: -253 meV per atom
size of the total moment: 0.000 μB/cell

=====

Record 6
Here is a PBEsol-optimized structure of Mg3Hg2 from Alexandria. Energies are from SCAN.

```
Mg3Hg2
1.0
1.653 0.954 11.511
-1.653 0.954 11.511
0.000 -1.908 11.511
Mg Hg
3 2
Cartesian
0.000 0.000 0.000
0.000 0.000 7.025
0.000 0.000 27.508
0.000 0.000 13.756
0.000 0.000 20.777
```

Output
space-group type: R-3m, No. 166
density of states at the Fermi level: 0.3564 states/eV per atom
V: 21.8 Å³/atom
energy above the lowest structure with this stoichiometry: 0.760 eV per formula unit
formation energy: -213 meV per atom
size of the total moment: 0.008 μB/cell

=====

Record 7
Here is a PBEsol-optimized structure of Mg2Hg from Alexandria. Energies are from SCAN.

```
Mg2Hg
1.0
-3.328 3.328 3.025
3.328 -3.328 3.025
3.328 3.328 -3.025
Mg Hg
4 2
Cartesian
4.460 1.132 0.000
1.132 2.196 0.000
2.196 1.132 3.025
-1.132 2.196 3.025
0.000 0.000 1.512
0.000 0.000 4.537
```

Output
space-group type: I4/mcm, No. 140
density of states at the Fermi level: 0.2880 states/eV per atom
V: 22.3 Å³/atom
formation energy: -270 meV per atom
size of the total moment: 0.000 μB/cell

=====

Record 8
Here is a PBEsol-optimized structure of MgHg3 from Alexandria. Energies are from SCAN.

```
MgHg3
1.0
4.420 0.000 0.000
0.000 4.420 0.000
0.000 0.000 4.420
Mg Hg
1 3
Cartesian
0.000 0.000 0.000
0.000 2.210 2.210
2.210 0.000 2.210
2.210 2.210 0.000
```

Output
space-group type: Pm-3m, No. 221
density of states at the Fermi level: 0.2580 states/eV per atom
V: 21.6 Å³/atom
formation energy: -119 meV per atom
size of the total moment: 0.000 μB/cell

=====

Record 9
Here is a PBEsol-optimized structure of Mg5Hg from Alexandria. Energies are from SCAN.

```
Mg5Hg
1.0
5.719 -1.608 0.000
5.719 1.608 0.000
-1.961 0.000 7.055
Mg Hg
5 1
Cartesian
0.000 0.000 0.000
-0.720 0.000 4.294
3.867 0.000 1.924
6.977 0.000 2.462
6.427 0.000 6.575
2.450 0.000 4.709
```

Output
space-group type: Cm, No. 8
density of states at the Fermi level: 0.3313 states/eV per atom
V: 21.6 Å³/atom
energy above the lowest structure with this stoichiometry: 0.208 eV per formula unit
formation energy: -127 meV per atom
size of the total moment: 0.000 μB/cell

=====

Record 10
Here is a PBEsol-optimized structure of MgHg from Alexandria. Energies are from SCAN.

```
MgHg
1.0
3.293 0.000 0.000
0.000 5.229 0.000
0.000 0.000 4.928
Mg Hg
2 2
Cartesian
0.823 1.307 0.596
2.470 3.922 4.332
0.823 3.922 1.822
2.470 1.307 3.106
```

Output
space-group type: Pmmn, No. 59
density of states at the Fermi level: 0.3233 states/eV per atom
V: 21.2 Å³/atom
formation energy: -277 meV per atom
size of the total moment: 0.000 μB/cell

=====

Record 11
Here is a PBEsol-optimized structure of Mg4Hg3 from Alexandria. Energies are from SCAN.

```
Mg4Hg3
1.0
-1.879 1.879 10.376
1.879 -1.879 10.376
1.879 1.879 -10.376
Mg Hg
4 3
Cartesian
0.000 0.000 1.442
0.000 0.000 7.256
0.000 0.000 13.497
0.000 0.000 19.311
0.000 0.000 4.322
0.000 0.000 10.376
0.000 0.000 16.431
```

Output
space-group type: I4/mmm, No. 139
density of states at the Fermi level: 0.3204 states/eV per atom
V: 20.9 Å³/atom
formation energy: -280 meV per atom
size of the total moment: 0.000 μB/cell

=====

Record 12
Here is a PBEsol-optimized structure of MgHg3 from Alexandria. Energies are from SCAN.

```
MgHg3
1.0
0.000 3.526 3.526
3.526 0.000 3.526
3.526 3.526 0.000
Mg Hg
1 3
Cartesian
0.000 0.000 0.000
1.763 1.763 1.763
3.526 3.526 3.526
5.290 5.290 5.290
```

Output
space-group type: Fm-3m, No. 225
density of states at the Fermi level: 0.3240 states/eV per atom
V: 21.9 Å³/atom
formation energy: -90 meV per atom
size of the total moment: 0.000 μB/cell

=====

- The highest V belongs to which entry?
  number 7

=====

Please write out number 6 again, unchanged.
Here is a PBEsol-optimized structure of Mg3Hg2 from Alexandria. Energies are from SCAN.

```
Mg3Hg2
1.0
1.653 0.954 11.511
-1.653 0.954 11.511
0.000 -1.908 11.511
Mg Hg
3 2
Cartesian
0.000 0.000 0.000
0.000 0.000 7.025
0.000 0.000 27.508
0.000 0.000 13.756
0.000 0.000 20.777
```

Output
space-group type: R-3m, No. 166
density of states at the Fermi level: 0.3564 states/eV per atom
V: 21.8 Å³/atom
energy above the lowest structure with this stoichiometry: 0.760 eV per formula unit
formation energy: -213 meV per atom
size of the total moment: 0.008 μB/cell

=====

- Among the records above, which one has the highest density of states at the Fermi level?
  number 3

=====

Copy entry 7 word for word.
Here is a PBEsol-optimized structure of Mg2Hg from Alexandria. Energies are from SCAN.

```
Mg2Hg
1.0
-3.328 3.328 3.025
3.328 -3.328 3.025
3.328 3.328 -3.025
Mg Hg
4 2
Cartesian
4.460 1.132 0.000
1.132 2.196 0.000
2.196 1.132 3.025
-1.132 2.196 3.025
0.000 0.000 1.512
0.000 0.000 4.537
```

Output
space-group type: I4/mcm, No. 140
density of states at the Fermi level: 0.2880 states/eV per atom
V: 22.3 Å³/atom
formation energy: -270 meV per atom
size of the total moment: 0.000 μB/cell